The following is a PBE calculation of Tm3Ga8Pd3 after structural relaxation, from Alexandria.

- Crystal system: monoclinic
- Energy above the lowest structure with this stoichiometry: 12 meV/atom
- Formation energy: -15.64 kcal/mol of atoms

a b c (Å): 4.272 8.061 8.209
angles (deg): 71.82 74.92 74.63
Fractional coordinates of all 14 atoms:
Ga  0.347  0.025  0.280
Tm  0.707  0.295  0.291
Ga  0.852  0.431  0.865
Ga  0.144  0.143  0.569
Tm  0.293  0.705  0.709
Tm  0.000  0.000  0.000
Ga  0.653  0.975  0.720
Ga  0.856  0.857  0.431
Pd  0.353  0.283  0.011
Pd  0.647  0.717  0.989
Ga  0.148  0.569  0.135
Ga  0.502  0.673  0.323
Ga  0.498  0.327  0.677
Pd  0.000  0.500  0.500

---

The following is a PBE calculation of In2MoP after structural relaxation, from Alexandria.

- Crystal system: orthorhombic
- Formation energy: 10.44 kcal/mol of atoms

a b c (Å): 5.200 5.200 2.922
angles (deg): 90.00 90.00 107.00
Fractional coordinates of all 4 atoms:
Mo  0.000  0.000  0.500
P  0.500  0.500  0.500
In  0.000  0.500  0.000
In  0.500  0.000  0.000

---

The following is a PBE calculation of CuReSi2 after structural relaxation, from Alexandria.

- Crystal system: cubic
- Energy above the lowest structure with this stoichiometry: 346 meV/atom
- ΔE_f (raw): 0.822 eV/f.u.

a b c (Å): 4.220 4.220 4.220
angles (deg): 60.00 60.00 60.00
Fractional coordinates of all 4 atoms:
Si  0.250  0.250  0.250
Si  0.750  0.750  0.750
Re  0.500  0.500  0.500
Cu  0.000  0.000  0.000

---

The following is a PBE calculation of Sc4BiSbSe2 after structural relaxation, from Alexandria.

- Crystal system: monoclinic
- ΔE_f (raw): -9.471 eV/f.u.

a b c (Å): 4.017 7.086 6.946
angles (deg): 70.85 90.00 90.00
Fractional coordinates of all 8 atoms:
Sc  0.500  0.770  0.248
Sc  0.000  0.225  0.263
Bi  0.500  0.500  0.000
Sc  0.000  0.775  0.737
Se  0.500  0.000  0.500
Sc  0.500  0.230  0.752
Sb  0.000  0.500  0.500
Se  0.000  0.000  0.000

---

The following is a PBE calculation of Pm2PrMg4 after structural relaxation, from Alexandria.

- Crystal system: orthorhombic
- Energy above the lowest structure with this stoichiometry: 210 meV/atom
- Formation energy: 7.47 kcal/mol of atoms

a b c (Å): 5.615 6.090 7.223
angles (deg): 114.93 90.00 90.00
Fractional coordinates of all 7 atoms:
Mg  0.500  0.617  0.234
Pm  0.500  0.136  0.272
Mg  0.000  0.746  0.493
Mg  0.500  0.383  0.766
Pm  0.500  0.864  0.728
Pr  0.000  0.500  0.000
Mg  0.000  0.254  0.507

---

The following is a PBE calculation of TbEr2Os after structural relaxation, from Alexandria.

- Crystal system: orthorhombic
- Energy above the lowest structure with this stoichiometry: 19 meV/atom
- Formation energy: -5.94 kcal/mol of atoms

a b c (Å): 3.963 6.248 8.942
angles (deg): 90.00 90.00 108.49
Fractional coordinates of all 8 atoms:
Er  0.146  0.291  0.066
Tb  0.574  0.148  0.750
Tb  0.426  0.852  0.250
Er  0.854  0.709  0.934
Os  0.243  0.485  0.750
Er  0.854  0.709  0.566
Er  0.146  0.291  0.434
Os  0.757  0.515  0.250

---

The following is a PBE calculation of LiCaThPt after structural relaxation, from Alexandria.

- Crystal system: cubic
- Formation energy: -10.61 kcal/mol of atoms

a b c (Å): 5.088 5.088 5.088
angles (deg): 60.00 60.00 60.00
Fractional coordinates of all 4 atoms:
Th  0.500  0.500  0.500
Pt  0.750  0.750  0.750
Ca  0.000  0.000  0.000
Li  0.250  0.250  0.250

---

The following is a PBE calculation of Na3MgO after structural relaxation, from Alexandria.

- Crystal system: cubic
- Energy above the lowest structure with this stoichiometry: 0 meV/atom
- ΔE_f (raw): -2.477 eV/f.u.

a b c (Å): 4.817 4.817 4.817
angles (deg): 90.00 90.00 90.00
Fractional coordinates of all 5 atoms:
O  0.000  0.000  0.000
Na  0.000  0.500  0.000
Na  0.000  0.000  0.500
Na  0.500  0.000  0.000
Mg  0.500  0.500  0.500

---

The following is a PBE calculation of MnZn2Cd after structural relaxation, from Alexandria.

- Crystal system: orthorhombic
- Formation energy: 3.39 kcal/mol of atoms

a b c (Å): 6.517 4.748 2.970
angles (deg): 89.93 63.00 122.98
Each line ends with the local moment (μB).
Fractional coordinates of all 4 atoms:
Mn  0.500  0.500  0.000  3.39
Cd  0.000  0.500  0.500  -0.02
Zn  0.000  0.000  0.000  -0.07
Zn  0.500  0.000  0.500  -0.07

---

The following is a PBE calculation of Sr2CeGe3Pt4 after structural relaxation, from Alexandria.

- Crystal system: tetragonal
- Formation energy: -19.23 kcal/mol of atoms

a b c (Å): 4.447 4.447 11.072
angles (deg): 90.00 90.00 90.00
Each line ends with the local moment (μB).
Fractional coordinates of all 10 atoms:
Ge  0.500  0.000  0.884  0.00
Pt  0.500  0.500  0.000  0.00
Pt  0.000  0.000  0.000  0.00
Ce  0.500  0.500  0.500  0.42
Ge  0.000  0.500  0.116  0.00
Pt  0.500  0.000  0.658  -0.01
Sr  0.500  0.000  0.227  0.00
Pt  0.000  0.500  0.342  -0.01
Ge  0.000  0.000  0.500  0.00
Sr  0.000  0.500  0.773  0.00

---

The following is a PBE calculation of SrCaAl4 after structural relaxation, from Alexandria.

- Crystal system: cubic
- Formation energy: -6.35 kcal/mol of atoms

a b c (Å): 5.760 5.760 5.760
angles (deg): 60.00 60.00 60.00
Fractional coordinates of all 6 atoms:
Ca  0.250  0.250  0.250
Sr  0.000  0.000  0.000
Al  0.125  0.625  0.625
Al  0.625  0.625  0.625
Al  0.625  0.125  0.625
Al  0.625  0.625  0.125

---

The following is a PBE calculation of KNdS2O6 after structural relaxation, from Alexandria.

- Crystal system: monoclinic
- ΔE_f (raw): -20.241 eV/f.u.

a b c (Å): 6.742 6.742 8.000
angles (deg): 104.75 104.75 99.32
Fractional coordinates of all 20 atoms:
O  0.302  0.157  0.612
Nd  0.448  0.552  0.750
S  0.655  0.916  0.217
K  0.858  0.142  0.750
O  0.082  0.527  0.745
Nd  0.552  0.448  0.250
O  0.709  0.489  0.576
O  0.918  0.473  0.255
K  0.142  0.858  0.250
S  0.916  0.655  0.717
O  0.473  0.918  0.755
O  0.527  0.082  0.245
O  0.157  0.302  0.112
S  0.084  0.345  0.283
O  0.489  0.709  0.076
O  0.511  0.291  0.924
S  0.345  0.084  0.783
O  0.843  0.698  0.888
O  0.698  0.843  0.388
O  0.291  0.511  0.424

---

The following is a PBE calculation of CaTaCu2 after structural relaxation, from Alexandria.

- Crystal system: cubic
- Energy above the lowest structure with this stoichiometry: 265 meV/atom
- Formation energy: 9.72 kcal/mol of atoms

a b c (Å): 4.646 4.646 4.646
angles (deg): 60.00 60.00 60.00
Fractional coordinates of all 4 atoms:
Cu  0.750  0.750  0.750
Ta  0.500  0.500  0.500
Ca  0.000  0.000  0.000
Cu  0.250  0.250  0.250

---

The following is a PBE calculation of Rb2DyCuF6 after structural relaxation, from Alexandria.

- Crystal system: monoclinic
- ΔE_f (raw): -29.292 eV/f.u.

a b c (Å): 6.290 6.287 6.740
angles (deg): 57.73 57.71 81.71
Each line ends with the local moment (μB).
Fractional coordinates of all 10 atoms:
F  0.733  0.266  0.000  0.00
F  0.227  0.229  0.999  0.00
Dy  0.000  0.000  0.000  0.00
F  0.227  0.227  0.546  0.00
Cu  0.500  0.500  0.000  0.06
F  0.773  0.773  0.454  0.00
F  0.773  0.771  0.001  0.00
Rb  0.750  0.250  0.500  0.00
Rb  0.250  0.750  0.500  0.00
F  0.267  0.734  0.000  0.00

---

The following is a PBE calculation of LuAlOsRu after structural relaxation, from Alexandria.

- Crystal system: cubic
- Formation energy: -7.10 kcal/mol of atoms

a b c (Å): 4.493 4.493 4.493
angles (deg): 60.00 60.00 60.00
Fractional coordinates of all 4 atoms:
Al  0.000  0.000  0.000
Lu  0.500  0.500  0.500
Os  0.750  0.750  0.750
Ru  0.250  0.250  0.250

---

The following is a PBE calculation of BaSr2Au2 after structural relaxation, from Alexandria.

- Crystal system: tetragonal
- Energy above the lowest structure with this stoichiometry: 192 meV/atom
- Formation energy: -10.05 kcal/mol of atoms

a b c (Å): 5.782 5.782 7.267
angles (deg): 66.56 66.56 90.00
Fractional coordinates of all 5 atoms:
Au  0.750  0.250  0.500
Ba  0.000  0.000  0.000
Sr  0.661  0.661  0.677
Sr  0.339  0.339  0.323
Au  0.250  0.750  0.500

---

The following is a PBE calculation of YFeSe after structural relaxation, from Alexandria.

- Crystal system: cubic
- Energy above the lowest structure with this stoichiometry: 340 meV/atom
- ΔE_f (raw): -1.060 eV/f.u.

a b c (Å): 4.307 4.307 4.307
angles (deg): 60.00 60.00 60.00
Each line ends with the local moment (μB).
Fractional coordinates of all 3 atoms:
Y  0.500  0.500  0.500  -0.05
Fe  0.750  0.750  0.750  1.10
Se  0.000  0.000  0.000  0.01

---

The following is a PBE calculation of ZnIn2Ga9 after structural relaxation, from Alexandria.

- Crystal system: tetragonal
- Formation energy: 1.16 kcal/mol of atoms

a b c (Å): 4.251 4.251 13.200
angles (deg): 89.99 90.00 89.99
Fractional coordinates of all 12 atoms:
Ga  0.500  0.500  0.331
Ga  0.000  0.500  0.147
Ga  0.500  0.000  0.853
In  0.000  0.000  0.322
Ga  0.500  0.500  0.669
In  0.000  0.000  0.678
Ga  0.500  0.500  0.000
Ga  0.500  0.000  0.500
Ga  0.000  0.500  0.853
Ga  0.500  0.000  0.147
Zn  0.000  0.000  0.000
Ga  0.000  0.500  0.500

---

The following is a PBE calculation of YTmTlCo after structural relaxation, from Alexandria.

- Crystal system: tetragonal
- Energy above the lowest structure with this stoichiometry: 0 meV/atom
- Formation energy: -6.07 kcal/mol of atoms

a b c (Å): 3.354 3.354 8.091
angles (deg): 90.00 90.00 90.00
Each line ends with the local moment (μB).
Fractional coordinates of all 4 atoms:
Co  0.000  0.000  0.565  0.28
Y  0.500  0.500  0.772  -0.04
Tl  0.000  0.000  0.076  0.01
Tm  0.500  0.500  0.372  -0.06

---

The following is a PBE calculation of Nd7GeSe5 after structural relaxation, from Alexandria.

- Crystal system: orthorhombic
- ΔE_f (raw): -20.201 eV/f.u.

a b c (Å): 4.204 7.212 24.941
angles (deg): 90.00 90.00 106.95
Fractional coordinates of all 26 atoms:
Nd  0.807  0.613  0.819
Nd  0.092  0.184  0.884
Se  0.724  0.448  0.572
Nd  0.092  0.183  0.616
Ge  0.810  0.619  0.250
Se  0.553  0.105  0.356
Nd  0.194  0.388  0.181
Nd  0.908  0.817  0.384
Se  0.448  0.896  0.644
Ge  0.191  0.382  0.750
Se  0.276  0.553  0.428
Nd  0.464  0.929  0.250
Nd  0.639  0.277  0.462
Se  0.000  0.000  0.500
Nd  0.909  0.818  0.116
Se  0.000  0.001  0.000
Nd  0.806  0.613  0.681
Se  0.448  0.896  0.856
Se  0.724  0.449  0.928
Nd  0.639  0.278  0.038
Nd  0.362  0.724  0.962
Se  0.277  0.553  0.072
Nd  0.536  0.073  0.750
Nd  0.362  0.723  0.538
Nd  0.194  0.388  0.319
Se  0.553  0.106  0.144

---

no.,spin magnetization (μB/atom)
1,0.0000
2,0.0002
3,0.0000
4,0.0000
5,0.0005
6,0.0000
7,0.0000
8,0.0000
9,0.8168
10,0.0504
11,0.0000
12,0.0000
13,0.0120
14,0.0063
15,0.0000
16,0.0001
17,0.3366
18,0.0000
19,0.0390
20,0.0000